VASP calculation (GGA-PBE) on a relaxed structure of AcLa4Tm6.

Lattice parameters (Å, degrees): 9.778 9.778 9.778 59.06 139.21 139.21
Fractional positions:
Tm: 0.500 0.500 0.000
La: 0.386 0.371 0.371
Tm: 0.500 0.000 0.500
Tm: 0.000 0.793 0.442
La: 0.000 0.015 0.629
La: 0.000 0.629 0.015
Tm: 0.650 0.207 0.207
La: 0.614 0.985 0.985
Ac: 0.000 0.000 0.000
Tm: 0.350 0.558 0.558
Tm: 0.000 0.442 0.793

Values from the calculation:
mass density	7.55	g cm⁻³
size of the total moment	0.000	μB/f.u.
space group	I-42m (121)
E	-47.09	eV/cell
formation energy from the elements	0.324	eV per atom
N(E_F)	16.5	states/eV/f.u.